## Tb4InNi2Sn4 (PBE)

Data for a relaxed Tb4InNi2Sn4 crystal.

Properties
electronic total energy	-5.04	eV per atom
calculated volume	23.60	A^3/atom

Geometry as CIF:
```
data_Tb4InNi2Sn4
_cell_length_a 16.1672
_cell_length_b 4.5611
_cell_length_c 7.4677
_cell_angle_alpha 90.00
_cell_angle_beta 109.46
_cell_angle_gamma 90.00
_space_group_name_H-M_alt 'C 1 2/m 1'
_space_group_IT_number 12
_space_group_name_Hall '-C 2y'
loop_
_atom_site_label
_atom_site_type_symbol
_atom_site_fract_x
_atom_site_fract_y
_atom_site_fract_z
Tb1 Tb 0.0913 0.0000 0.3933
Tb2 Tb 0.1572 0.0000 0.9541
In1 In 0.0000 0.5000 0.0000
Ni1 Ni 0.2205 0.5000 0.6474
Sn1 Sn 0.0696 0.5000 0.6767
Sn2 Sn 0.2027 0.5000 0.2760
```